No. 1
DFT (PBE) results for crystalline BaGaAsIr2 at its relaxed geometry.

Cell and atoms, written as POSCAR:
```
BaGaAsIr2
1.0
-2.116 2.116 6.057
2.116 -2.116 6.057
2.116 2.116 -6.057
Ba Ga As Ir
1 1 1 2
Direct
0.000 0.000 0.000
0.648 0.648 0.000
0.362 0.362 0.000
0.258 0.758 0.500
0.758 0.258 0.500
```

Summary:
* E: -6.069 eV/atom
* spin magnetization: 0.01 Bohr magnetons per cell
* symmetry: No. 107

=====

No. 2
DFT (PBE) results for crystalline Ba2GdAs2 at its relaxed geometry.

Cell and atoms, written as POSCAR:
```
Ba2GdAs2
1.0
9.641 0.000 0.000
0.000 9.908 0.000
-1.759 0.000 7.800
Ba Gd As
8 4 8
Direct
0.023 0.137 0.263
0.023 0.363 0.763
0.390 0.652 0.028
0.390 0.848 0.528
0.610 0.152 0.472
0.610 0.348 0.972
0.977 0.637 0.237
0.977 0.863 0.737
0.324 0.085 0.989
0.324 0.415 0.489
0.676 0.585 0.511
0.676 0.915 0.011
0.189 0.622 0.633
0.189 0.878 0.133
0.280 0.158 0.637
0.280 0.342 0.137
0.720 0.658 0.863
0.720 0.842 0.363
0.811 0.122 0.867
0.811 0.378 0.367
```

Summary:
* offset from the most stable computed form: 75 meV/atom
* spin magnetization: 3.79 Bohr magnetons per cell
* symmetry: No. 14

=====

No. 3
DFT (PBE) results for crystalline BaGdAs at its relaxed geometry.

Cell and atoms, written as POSCAR:
```
BaGdAs
1.0
0.000 3.675 3.675
3.675 0.000 3.675
3.675 3.675 0.000
Ba Gd As
1 1 1
Direct
0.000 0.000 0.000
0.500 0.500 0.500
0.250 0.250 0.250
```

Summary:
* offset from the most stable computed form: 0 meV/atom
* spin magnetization: 0.01 Bohr magnetons per cell
* symmetry: No. 216

=====

No. 4
DFT (PBE) results for crystalline BaGdAs at its relaxed geometry.

Cell and atoms, written as POSCAR:
```
BaGdAs
1.0
0.000 3.742 3.742
3.742 0.000 3.742
3.742 3.742 0.000
Ba Gd As
1 1 1
Direct
0.000 0.000 0.000
0.250 0.250 0.250
0.750 0.750 0.750
```

Summary:
* offset from the most stable computed form: 950 meV/atom
* spin magnetization: 0.72 Bohr magnetons per cell
* symmetry: No. 216

=====

No. 5
DFT (PBE) results for crystalline Ba2GdAs2 at its relaxed geometry.

Cell and atoms, written as POSCAR:
```
Ba2GdAs2
1.0
2.349 -8.867 0.000
2.349 8.867 0.000
0.000 0.000 8.649
Ba Gd As
4 2 4
Direct
0.054 0.946 0.500
0.206 0.794 0.170
0.794 0.206 0.670
0.946 0.054 0.000
0.411 0.589 0.366
0.589 0.411 0.866
0.172 0.828 0.797
0.447 0.553 0.693
0.553 0.447 0.193
0.828 0.172 0.297
```

Summary:
* offset from the most stable computed form: 0 meV/atom
* spin magnetization: 0.93 Bohr magnetons per cell
* symmetry: No. 36

=====

No. 6
DFT (PBE) results for crystalline BaGdHgAs2 at its relaxed geometry.

Cell and atoms, written as POSCAR:
```
BaGdHgAs2
1.0
2.158 -9.083 0.000
2.158 9.083 0.000
0.000 0.000 7.355
Ba Gd Hg As
2 2 2 4
Direct
0.194 0.806 0.500
0.806 0.194 0.000
0.023 0.977 0.172
0.977 0.023 0.672
0.391 0.609 0.345
0.609 0.391 0.845
0.170 0.830 0.025
0.457 0.543 0.948
0.543 0.457 0.448
0.830 0.170 0.525
```

Summary:
* E: -4.126 eV/atom
* spin magnetization: 0.01 Bohr magnetons per cell
* symmetry: No. 36

=====

No. 7
DFT (PBE) results for crystalline BaGdAsO at its relaxed geometry.

Cell and atoms, written as POSCAR:
```
BaGdAsO
1.0
4.490 0.000 0.000
0.000 4.490 0.000
0.000 0.000 9.601
Ba Gd As O
2 2 2 2
Direct
0.250 0.750 0.000
0.750 0.250 0.000
0.250 0.250 0.419
0.750 0.750 0.581
0.250 0.250 0.767
0.750 0.750 0.233
0.250 0.750 0.500
0.750 0.250 0.500
```

Summary:
* offset from the most stable computed form: 461 meV/atom
* spin magnetization: 0.00 Bohr magnetons per cell
* symmetry: No. 129

=====

No. 8
DFT (PBE) results for crystalline BaGdAsO at its relaxed geometry.

Cell and atoms, written as POSCAR:
```
BaGdAsO
1.0
4.487 0.000 0.000
0.000 4.487 0.000
0.000 0.000 9.584
Ba Gd As O
2 2 2 2
Direct
0.250 0.750 0.000
0.750 0.250 0.000
0.250 0.250 0.418
0.750 0.750 0.582
0.250 0.250 0.766
0.750 0.750 0.234
0.250 0.750 0.500
0.750 0.250 0.500
```

Summary:
* offset from the most stable computed form: 461 meV/atom
* spin magnetization: 0.00 Bohr magnetons per cell
* symmetry: No. 129

=====

No. 9
DFT (PBE) results for crystalline BaGdAsO at its relaxed geometry.

Cell and atoms, written as POSCAR:
```
BaGdAsO
1.0
4.098 0.000 0.000
0.000 7.069 0.000
0.000 0.000 7.623
Ba Gd As O
2 2 2 2
Direct
0.000 0.059 0.000
0.000 0.941 0.500
0.500 0.380 0.353
0.500 0.620 0.853
0.500 0.250 0.712
0.500 0.750 0.212
0.000 0.265 0.288
0.000 0.735 0.788
```

Summary:
* offset from the most stable computed form: 160 meV/atom
* spin magnetization: 0.01 Bohr magnetons per cell
* symmetry: No. 26

=====

No. 10
DFT (PBE) results for crystalline BaGdAsO at its relaxed geometry.

Cell and atoms, written as POSCAR:
```
BaGdAsO
1.0
4.745 0.000 0.000
0.000 7.666 0.000
0.000 0.000 6.724
Ba Gd As O
2 2 2 2
Direct
0.000 0.199 0.000
0.000 0.801 0.500
0.500 0.392 0.598
0.500 0.608 0.098
0.000 0.228 0.483
0.000 0.772 0.983
0.500 0.365 0.926
0.500 0.635 0.426
```

Summary:
* offset from the most stable computed form: 0 meV/atom
* spin magnetization: 0.00 Bohr magnetons per cell
* symmetry: No. 26

=====

No. 11
DFT (PBE) results for crystalline BaGdAsO at its relaxed geometry.

Cell and atoms, written as POSCAR:
```
BaGdAsO
1.0
4.955 0.000 0.000
0.000 4.955 0.000
0.000 0.000 9.901
Ba Gd As O
2 2 2 2
Direct
0.250 0.250 0.091
0.750 0.750 0.909
0.250 0.750 0.500
0.750 0.250 0.500
0.250 0.250 0.640
0.750 0.750 0.360
0.250 0.750 0.000
0.750 0.250 0.000
```

Summary:
* offset from the most stable computed form: 537 meV/atom
* spin magnetization: 0.40 Bohr magnetons per cell
* symmetry: No. 129

=====

No. 12
DFT (PBE) results for crystalline BaGdAs2Pd2 at its relaxed geometry.

Cell and atoms, written as POSCAR:
```
BaGdAs2Pd2
1.0
4.362 0.000 0.000
-2.181 3.777 0.000
0.000 0.000 8.441
Ba Gd As Pd
1 1 2 2
Direct
0.000 0.000 0.000
0.000 0.000 0.500
0.333 0.667 0.280
0.667 0.333 0.720
0.333 0.667 0.719
0.667 0.333 0.281
```

Summary:
* E: -5.452 eV/atom
* spin magnetization: 0.01 Bohr magnetons per cell
* symmetry: No. 164

=====

No. 13
DFT (PBE) results for crystalline BaGeAsIr2 at its relaxed geometry.

Cell and atoms, written as POSCAR:
```
BaGeAsIr2
1.0
-2.071 2.071 6.461
2.071 -2.071 6.461
2.071 2.071 -6.461
Ba Ge As Ir
1 1 1 2
Direct
0.000 0.000 0.000
0.356 0.356 0.000
0.645 0.645 0.000
0.249 0.749 0.500
0.749 0.249 0.500
```

Summary:
* E: -6.413 eV/atom
* spin magnetization: 0.00 Bohr magnetons per cell
* symmetry: No. 107

=====

No. 14
DFT (PBE) results for crystalline BaZn2As2H2O9 at its relaxed geometry.

Cell and atoms, written as POSCAR:
```
BaZn2As2H2O9
1.0
5.226 0.000 0.000
0.000 10.426 0.000
-0.733 0.000 7.996
Ba Zn As H O
2 4 4 4 18
Direct
0.042 0.000 0.308
0.958 0.500 0.692
0.028 0.345 0.094
0.442 0.578 0.389
0.558 0.078 0.611
0.972 0.845 0.906
0.087 0.134 0.815
0.428 0.791 0.686
0.572 0.291 0.314
0.913 0.634 0.185
0.463 0.331 0.806
0.486 0.435 0.941
0.514 0.935 0.059
0.537 0.831 0.194
0.054 0.775 0.134
0.067 0.023 0.970
0.067 0.576 0.370
0.123 0.750 0.733
0.402 0.347 0.138
0.403 0.165 0.788
0.411 0.910 0.538
0.438 0.158 0.392
0.465 0.427 0.818
0.535 0.927 0.182
0.562 0.658 0.608
0.589 0.410 0.462
0.597 0.665 0.212
0.598 0.847 0.862
0.877 0.250 0.267
0.933 0.076 0.630
0.933 0.523 0.030
0.946 0.275 0.866
```

Summary:
* E: -5.629 eV/atom
* symmetry: No. 4

=====

No. 15
DFT (PBE) results for crystalline BaZn2As3HO11 at its relaxed geometry.

Cell and atoms, written as POSCAR:
```
BaZn2As3HO11
1.0
11.722 0.000 0.000
0.000 8.145 0.000
-0.643 0.000 9.904
Ba Zn As H O
4 8 12 4 44
Direct
0.208 0.035 0.493
0.208 0.465 0.993
0.792 0.535 0.007
0.792 0.965 0.507
0.295 0.682 0.692
0.295 0.818 0.192
0.450 0.183 0.997
0.450 0.317 0.497
0.550 0.683 0.503
0.550 0.817 0.003
0.705 0.182 0.808
0.705 0.318 0.308
0.003 0.652 0.704
0.003 0.848 0.204
0.224 0.529 0.395
0.224 0.971 0.895
0.490 0.514 0.202
0.490 0.986 0.702
0.510 0.014 0.298
0.510 0.486 0.798
0.776 0.029 0.105
0.776 0.471 0.605
0.997 0.152 0.796
0.997 0.348 0.296
0.010 0.231 0.515
0.010 0.269 0.015
0.990 0.731 0.985
0.990 0.769 0.485
0.005 0.688 0.081
0.005 0.812 0.581
0.071 0.504 0.392
0.071 0.996 0.892
0.075 0.210 0.668
0.075 0.290 0.168
0.135 0.585 0.747
0.135 0.915 0.247
0.245 0.692 0.499
0.245 0.808 0.999
0.247 0.588 0.235
0.247 0.912 0.735
0.277 0.154 0.952
0.277 0.346 0.452
0.367 0.518 0.812
0.367 0.982 0.312
0.409 0.136 0.623
0.409 0.364 0.123
0.452 0.701 0.130
0.452 0.799 0.630
0.467 0.529 0.373
0.467 0.971 0.873
0.533 0.029 0.127
0.533 0.471 0.627
0.548 0.201 0.370
0.548 0.299 0.870
0.591 0.636 0.877
0.591 0.864 0.377
0.633 0.018 0.688
0.633 0.482 0.188
0.723 0.654 0.548
0.723 0.846 0.048
0.753 0.088 0.265
0.753 0.412 0.765
0.755 0.192 0.001
0.755 0.308 0.501
0.865 0.085 0.753
0.865 0.415 0.253
0.925 0.710 0.832
0.925 0.790 0.332
0.929 0.004 0.108
0.929 0.496 0.608
0.995 0.188 0.419
0.995 0.312 0.919
```

Summary:
* E: -5.750 eV/atom
* symmetry: No. 14

=====

No. 16
DFT (PBE) results for crystalline BaHfAs at its relaxed geometry.

Cell and atoms, written as POSCAR:
```
BaHfAs
1.0
0.000 3.712 3.712
3.712 0.000 3.712
3.712 3.712 0.000
Ba Hf As
1 1 1
Direct
0.000 0.000 0.000
0.250 0.250 0.250
0.750 0.750 0.750
```

Summary:
* offset from the most stable computed form: 938 meV/atom
* spin magnetization: 1.53 Bohr magnetons per cell
* symmetry: No. 216

=====

No. 17
DFT (PBE) results for crystalline BaHfAs at its relaxed geometry.

Cell and atoms, written as POSCAR:
```
BaHfAs
1.0
0.000 3.519 3.519
3.519 0.000 3.519
3.519 3.519 0.000
Ba Hf As
1 1 1
Direct
0.000 0.000 0.000
0.500 0.500 0.500
0.250 0.250 0.250
```

Summary:
* offset from the most stable computed form: 0 meV/atom
* spin magnetization: 0.08 Bohr magnetons per cell
* symmetry: No. 216

=====

No. 18
DFT (PBE) results for crystalline BaHgAs at its relaxed geometry.

Cell and atoms, written as POSCAR:
```
BaHgAs
1.0
0.000 3.745 3.745
3.745 0.000 3.745
3.745 3.745 0.000
Ba Hg As
1 1 1
Direct
0.000 0.000 0.000
0.500 0.500 0.500
0.250 0.250 0.250
```

Summary:
* offset from the most stable computed form: 0 meV/atom
* symmetry: No. 216

=====

No. 19
DFT (PBE) results for crystalline BaHgAs at its relaxed geometry.

Cell and atoms, written as POSCAR:
```
BaHgAs
1.0
0.000 3.828 3.828
3.828 0.000 3.828
3.828 3.828 0.000
Ba Hg As
1 1 1
Direct
0.000 0.000 0.000
0.750 0.750 0.750
0.250 0.250 0.250
```

Summary:
* offset from the most stable computed form: 278 meV/atom
* symmetry: No. 216

=====

No. 20
DFT (PBE) results for crystalline BaHg2As at its relaxed geometry.

Cell and atoms, written as POSCAR:
```
BaHg2As
1.0
0.000 3.858 3.858
3.858 0.000 3.858
3.858 3.858 0.000
Ba Hg As
1 2 1
Direct
0.000 0.000 0.000
0.500 0.500 0.500
0.750 0.750 0.750
0.250 0.250 0.250
```

Summary:
* E: -2.199 eV/atom
* symmetry: No. 216

=====

No. 21
DFT (PBE) results for crystalline BaHg2As at its relaxed geometry.

Cell and atoms, written as POSCAR:
```
BaHg2As
1.0
0.000 3.858 3.858
3.858 0.000 3.858
3.858 3.858 0.000
Ba Hg As
1 2 1
Direct
0.000 0.000 0.000
0.250 0.250 0.250
0.500 0.500 0.500
0.750 0.750 0.750
```

Summary:
* E: -2.199 eV/atom
* symmetry: No. 216

=====

No. 22
DFT (PBE) results for crystalline BaHg2As4 at its relaxed geometry.

Cell and atoms, written as POSCAR:
```
BaHg2As4
1.0
-3.959 3.959 3.388
3.959 -3.959 3.388
3.959 3.959 -3.388
Ba Hg As
1 2 4
Direct
0.000 0.000 0.000
0.250 0.750 0.500
0.750 0.250 0.500
0.273 0.500 0.773
0.500 0.273 0.773
0.500 0.727 0.227
0.727 0.500 0.227
```

Summary:
* E: -3.109 eV/atom
* symmetry: No. 139